(1)
Here is a relaxed CdSn2Pt2 crystal from Alexandria. Energies are from PBE-GGA.

Crystal system = tetragonal
Fermi-level density of states = 0.429 states/eV per atom
DFT total energy = -0.31916 Ry per atom
Symmetry = P4/mbm (127)

Unit cell a=8.189 b=8.189 c=3.095 alpha=90.00 beta=90.00 gamma=90.00
Positions (direct):
1 Cd 0.000 0.000 0.000
2 Cd 0.500 0.500 0.000
3 Sn 0.157 0.343 0.000
4 Sn 0.343 0.843 0.000
5 Sn 0.657 0.157 0.000
6 Sn 0.843 0.657 0.000
7 Pt 0.135 0.635 0.500
8 Pt 0.365 0.135 0.500
9 Pt 0.635 0.865 0.500
10 Pt 0.865 0.365 0.500



(2)
Here is a relaxed CdSn12Pt4 crystal from Alexandria. Energies are from PBE-GGA.

Crystal system = cubic
Fermi-level density of states = 0.633 states/eV per atom
DFT total energy = -0.33550 Ry per atom
Symmetry = Im-3 (204)

Unit cell a=8.288 b=8.288 c=8.288 alpha=109.47 beta=109.47 gamma=109.47
Positions (direct):
1 Cd 0.000 0.000 0.000
2 Sn 0.155 0.337 0.492
3 Sn 0.155 0.663 0.818
4 Sn 0.182 0.845 0.337
5 Sn 0.337 0.182 0.845
6 Sn 0.337 0.492 0.155
7 Sn 0.492 0.155 0.337
8 Sn 0.508 0.845 0.663
9 Sn 0.663 0.508 0.845
10 Sn 0.663 0.818 0.155
11 Sn 0.818 0.155 0.663
12 Sn 0.845 0.337 0.182
13 Sn 0.845 0.663 0.508
14 Pt 0.000 0.000 0.500
15 Pt 0.000 0.500 0.000
16 Pt 0.500 0.000 0.000
17 Pt 0.500 0.500 0.500



(3)
Here is a relaxed CdSn2Pt2 crystal from Alexandria. Energies are from PBE-GGA.

Crystal system = tetragonal
Fermi-level density of states = 0.346 states/eV per atom
DFT total energy = -0.32240 Ry per atom
Symmetry = I4/mmm (139)

Unit cell a=3.994 b=3.994 c=14.420 alpha=90.00 beta=90.00 gamma=90.00
Positions (direct):
1 Cd 0.000 0.000 0.000
2 Cd 0.500 0.500 0.500
3 Sn 0.000 0.000 0.380
4 Sn 0.000 0.000 0.620
5 Sn 0.500 0.500 0.120
6 Sn 0.500 0.500 0.880
7 Pt 0.000 0.500 0.250
8 Pt 0.000 0.500 0.750
9 Pt 0.500 0.000 0.250
10 Pt 0.500 0.000 0.750